NbCo2B2 | PBE-GGA | relaxed

Summary:
Energy in eV per atom: -8.012
ΔE_f in eV per atom: -0.48

Cell lengths 3.659, 3.289, 8.226 Å; angles 90.00, 95.07, 90.00 degrees
Space group P2_1/m (No. 11)
Inequivalent atoms, fractional coordinates:
Nb 0.207 0.250 0.253 x2
Co 0.250 0.750 0.503 x2
Co 0.340 0.250 0.903 x2
B 0.142 0.750 0.014 x2
B 0.279 0.250 0.650 x2